1.
# ZnTcRh GGA-PBE relaxed
# ΔE_f ... -0.118 eV/atom
# DOS(E_F) ... 5.5 states/eV per cell
# Crystal system ... tetragonal
data_ZnTcRh
_chemical_formula_sum 'Zn2 Tc2 Rh2'
_space_group_name_H-M_alt 'I 4 m m'
_space_group_IT_number 107
_space_group_name_Hall 'I 4 -2'
_cell_length_a 2.780
_cell_length_b 2.780
_cell_length_c 11.038
_cell_angle_alpha 90.00
_cell_angle_beta 90.00
_cell_angle_gamma 90.00
loop_
_atom_site_label
_atom_site_type_symbol
_atom_site_fract_x
_atom_site_fract_y
_atom_site_fract_z
Zn1 Zn 0.000 0.000 0.000
Tc1 Tc 0.000 0.000 0.326
Rh1 Rh 0.000 0.000 0.667

---

2.
# K2TiTe2 GGA-PBE relaxed
# ΔE_f (raw) ... 0.0652 eV per atom
# DOS(E_F) ... 9.5 states/eV per cell
# Crystal system ... tetragonal
data_K2TiTe2
_chemical_formula_sum 'K4 Ti2 Te4'
_space_group_name_H-M_alt 'I 4/m m m'
_space_group_IT_number 139
_space_group_name_Hall '-I 4 2'
_cell_length_a 4.207
_cell_length_b 4.207
_cell_length_c 16.921
_cell_angle_alpha 90.00
_cell_angle_beta 90.00
_cell_angle_gamma 90.00
loop_
_atom_site_label
_atom_site_type_symbol
_atom_site_fract_x
_atom_site_fract_y
_atom_site_fract_z
K1 K 0.000 0.500 0.250
Ti1 Ti 0.000 0.000 0.000
Te1 Te 0.000 0.000 0.403

---

3.
# Mn3SiH GGA-PBE relaxed
# DOS(E_F) ... 11.0 states/eV per cell
# Crystal system ... monoclinic
# Total energy ... -148.92 eV per cell
data_Mn3SiH
_chemical_formula_sum 'Mn12 Si4 H4'
_space_group_name_H-M_alt 'C 1 2/m 1'
_space_group_IT_number 12
_cell_length_a 11.376
_cell_length_b 3.801
_cell_length_c 4.770
_cell_angle_alpha 90.00
_cell_angle_beta 113.46
_cell_angle_gamma 90.00
loop_
_space_group_symop_operation_xyz
'x,y,z'
'-x,-y,-z'
'-x,y,-z'
'x,-y,z'
'x+1/2,y+1/2,z'
'-x+1/2,-y+1/2,-z'
'-x+1/2,y+1/2,-z'
'x+1/2,-y+1/2,z'
loop_
_atom_site_label
_atom_site_type_symbol
_atom_site_fract_x
_atom_site_fract_y
_atom_site_fract_z
Mn1 Mn 0.056 0.000 0.334
Mn2 Mn 0.113 0.500 0.675
Mn3 Mn 0.222 0.500 0.333
Si1 Si 0.163 0.000 0.002
H1 H 0.046 0.500 0.279

---

4.
# Pr4Hg2S GGA-PBE relaxed
# ΔE_f (raw) ... -0.7093 eV per atom
# DOS(E_F) ... 7.9 states/eV per cell
# Crystal system ... tetragonal
data_Pr4Hg2S
_chemical_formula_sum 'Pr8 Hg4 S2'
_space_group_name_H-M_alt 'I 4/m m m'
_space_group_IT_number 139
_space_group_name_Hall '-I 4 2'
_cell_length_a 5.453
_cell_length_b 5.453
_cell_length_c 15.289
_cell_angle_alpha 90.00
_cell_angle_beta 90.00
_cell_angle_gamma 90.00
loop_
_atom_site_label
_atom_site_type_symbol
_atom_site_fract_x
_atom_site_fract_y
_atom_site_fract_z
Pr1 Pr 0.000 0.000 0.188
Pr2 Pr 0.000 0.500 0.000
Hg1 Hg 0.000 0.000 0.386
S1 S 0.000 0.000 0.000

---

5.
# NiAsS2N GGA-PBE relaxed
# ΔE_f (raw) ... 0.6746 eV per atom
# DOS(E_F) ... 1.8 states/eV per cell
# Crystal system ... tetragonal
data_NiAsS2N
_chemical_formula_sum 'Ni1 As1 S2 N1'
_space_group_name_H-M_alt 'P 4/m m m'
_space_group_IT_number 123
_space_group_name_Hall '-P 4 2'
_cell_length_a 4.683
_cell_length_b 4.683
_cell_length_c 3.440
_cell_angle_alpha 90.00
_cell_angle_beta 90.00
_cell_angle_gamma 90.00
loop_
_atom_site_label
_atom_site_type_symbol
_atom_site_fract_x
_atom_site_fract_y
_atom_site_fract_z
Ni1 Ni 0.000 0.000 0.000
As1 As 0.500 0.500 0.500
S1 S 0.000 0.500 0.000
N1 N 0.000 0.000 0.500

---

6.
# NbTe2BrN GGA-PBE relaxed
# ΔE_f (raw) ... 0.1906 eV per atom
# DOS(E_F) ... 3.1 states/eV per cell
# Crystal system ... tetragonal
data_NbTe2BrN
_chemical_formula_sum 'Nb1 Te2 Br1 N1'
_space_group_name_H-M_alt 'P 4/m m m'
_space_group_IT_number 123
_space_group_name_Hall '-P 4 2'
_cell_length_a 5.601
_cell_length_b 5.601
_cell_length_c 3.945
_cell_angle_alpha 90.00
_cell_angle_beta 90.00
_cell_angle_gamma 90.00
loop_
_atom_site_label
_atom_site_type_symbol
_atom_site_fract_x
_atom_site_fract_y
_atom_site_fract_z
Nb1 Nb 0.000 0.000 0.000
Te1 Te 0.000 0.500 0.000
Br1 Br 0.500 0.500 0.500
N1 N 0.000 0.000 0.500

---

7.
# SrAl2As GGA-PBE relaxed
# ΔE_f ... -0.249 eV/atom
# DOS(E_F) ... 6.0 states/eV per cell
# Crystal system ... tetragonal
data_SrAl2As
_chemical_formula_sum 'Sr4 Al8 As4'
_space_group_name_H-M_alt 'I -4 2 d'
_space_group_IT_number 122
_space_group_name_Hall 'I -4 2bw'
_cell_length_a 8.113
_cell_length_b 8.113
_cell_length_c 6.126
_cell_angle_alpha 90.00
_cell_angle_beta 90.00
_cell_angle_gamma 90.00
loop_
_atom_site_label
_atom_site_type_symbol
_atom_site_fract_x
_atom_site_fract_y
_atom_site_fract_z
Sr1 Sr 0.000 0.000 0.000
Al1 Al 0.189 0.250 0.625
As1 As 0.000 0.000 0.500

---

8.
# ErZrZn6 GGA-PBE relaxed
# ΔE_f ... -0.283 eV/atom
# DOS(E_F) ... 7.4 states/eV per cell
# Crystal system ... orthorhombic
data_ErZrZn6
_chemical_formula_sum 'Er2 Zr2 Zn12'
_space_group_name_H-M_alt 'A m m 2'
_space_group_IT_number 38
_cell_length_a 4.413
_cell_length_b 6.040
_cell_length_c 10.396
_cell_angle_alpha 90.00
_cell_angle_beta 90.00
_cell_angle_gamma 90.00
loop_
_space_group_symop_operation_xyz
'x,y,z'
'-x,-y,z'
'-x,y,z'
'x,-y,z'
'x,y+1/2,z+1/2'
'-x,-y+1/2,z+1/2'
'-x,y+1/2,z+1/2'
'x,-y+1/2,z+1/2'
loop_
_atom_site_label
_atom_site_type_symbol
_atom_site_fract_x
_atom_site_fract_y
_atom_site_fract_z
Er1 Er 0.000 0.000 0.000
Zr1 Zr 0.500 0.000 0.671
Zn1 Zn 0.000 0.000 0.495
Zn2 Zn 0.000 0.234 0.256
Zn3 Zn 0.500 0.000 0.181
Zn4 Zn 0.500 0.228 0.413

---

Copy entry 6 word for word.
# NbTe2BrN GGA-PBE relaxed
# ΔE_f (raw) ... 0.1906 eV per atom
# DOS(E_F) ... 3.1 states/eV per cell
# Crystal system ... tetragonal
data_NbTe2BrN
_chemical_formula_sum 'Nb1 Te2 Br1 N1'
_space_group_name_H-M_alt 'P 4/m m m'
_space_group_IT_number 123
_space_group_name_Hall '-P 4 2'
_cell_length_a 5.601
_cell_length_b 5.601
_cell_length_c 3.945
_cell_angle_alpha 90.00
_cell_angle_beta 90.00
_cell_angle_gamma 90.00
loop_
_atom_site_label
_atom_site_type_symbol
_atom_site_fract_x
_atom_site_fract_y
_atom_site_fract_z
Nb1 Nb 0.000 0.000 0.000
Te1 Te 0.000 0.500 0.000
Br1 Br 0.500 0.500 0.500
N1 N 0.000 0.000 0.500

---

The lowest DOS(E_F) belongs to which entry?
NiAsS2N

---

DOS(E_F) of number 8 (ErZrZn6)?
7.4 states/eV per cell